Sc3MnNb: relaxed, PBE.

Computed properties:
space-group type: Pm-3m, No. 221
calculated density: 4.39 g cm⁻³
magnetization: 0.02 Bohr magnetons per cell
uncorrected energy: -7.075 eV/atom
E above lowest polymorph: 0 meV per atom

Lattice parameters (Å, degrees): 4.745 4.745 4.745 90.00 90.00 90.00
Fractional positions:
Sc 0.000 0.500 0.000
Sc 0.000 0.000 0.500
Sc 0.500 0.000 0.000
Nb 0.500 0.500 0.500
Mn 0.000 0.000 0.000

ScMn2Nb: relaxed, PBE.

Computed properties:
space-group type: P4/mmm, No. 123
calculated density: 6.71 g cm⁻³
magnetization: 1.53 Bohr magnetons per cell
uncorrected energy: -8.697 eV/atom

Lattice parameters (Å, degrees): 3.110 3.110 6.341 90.00 90.00 90.00
Site moments in Bohr magnetons follow the coordinates.
Fractional positions:
Sc 0.500 0.500 0.500  -0.19
Nb 0.500 0.500 0.000  -0.44
Mn 0.000 0.000 0.773  1.10
Mn 0.000 0.000 0.227  1.10

ScMn8Nb3: relaxed, PBE.

Computed properties:
space-group type: P3m1, No. 156
calculated density: 7.87 g cm⁻³
magnetization: 4.21 Bohr magnetons per cell
uncorrected energy: -9.302 eV/atom

Lattice parameters (Å, degrees): 4.829 4.829 7.976 90.00 90.00 120.00
Site moments in Bohr magnetons follow the coordinates.
Fractional positions:
Sc 0.000 0.000 0.562  -0.05
Mn 0.333 0.667 0.500  0.92
Mn 0.333 0.667 0.002  1.04
Mn 0.505 0.009 0.752  0.39
Mn 0.505 0.495 0.752  0.39
Mn 0.991 0.495 0.752  0.39
Mn 0.162 0.325 0.248  0.46
Mn 0.162 0.838 0.248  0.46
Mn 0.675 0.838 0.248  0.46
Nb 0.667 0.333 0.437  -0.14
Nb 0.667 0.333 0.064  -0.07
Nb 0.000 0.000 0.935  -0.06

ScMnNb2: relaxed, PBE.

Computed properties:
space-group type: R-3m, No. 166
calculated density: 6.50 g cm⁻³
magnetization: 1.08 Bohr magnetons per cell
uncorrected energy: -8.452 eV/atom
E above lowest polymorph: 365 meV per atom

Lattice parameters (Å, degrees): 2.953 2.953 9.818 81.35 81.35 60.00
Site moments in Bohr magnetons follow the coordinates.
Fractional positions:
Sc 0.000 0.000 0.000  -0.05
Nb 0.098 0.098 0.706  -0.17
Nb 0.902 0.902 0.294  -0.17
Mn 0.500 0.500 0.500  1.48

| no. | ΔH_f (0 K) (eV per atom) |
| --- | --- |
| 1 | 0.57 |
| 2 | -0.01 |
| 3 | -0.14 |
| 4 | 0.46 |